# 1
# GGA-PBE Rb2PHI6, optimized geometry
# Final energy: -2.405 eV/atom
data_Rb2PHI6
_chemical_formula_sum 'Rb4 P2 H2 I12'
_cell_length_a 7.568
_cell_length_b 7.568
_cell_length_c 12.844
_cell_angle_alpha 90.00
_cell_angle_beta 90.00
_cell_angle_gamma 90.00
_space_group_name_H-M_alt 'I 4/m m m'
_space_group_IT_number 139
_space_group_name_Hall '-I 4 2'
loop_
_atom_site_label
_atom_site_type_symbol
_atom_site_fract_x
_atom_site_fract_y
_atom_site_fract_z
Rb1 Rb 0.000 0.500 0.250
P1 P 0.000 0.000 0.000
H1 H 0.000 0.000 0.500
I1 I 0.000 0.000 0.219
I2 I 0.240 0.240 0.500

---

# 2
# GGA-PBE PH2RuI, optimized geometry
# Final energy: -3.996 eV/atom
data_PH2RuI
_chemical_formula_sum 'P1 H2 Ru1 I1'
_cell_length_a 3.895
_cell_length_b 3.895
_cell_length_c 4.693
_cell_angle_alpha 90.00
_cell_angle_beta 90.00
_cell_angle_gamma 90.00
_space_group_name_H-M_alt 'P 4/m m m'
_space_group_IT_number 123
_space_group_name_Hall '-P 4 2'
loop_
_atom_site_label
_atom_site_type_symbol
_atom_site_fract_x
_atom_site_fract_y
_atom_site_fract_z
P1 P 0.000 0.000 0.000
H1 H 0.000 0.500 0.500
Ru1 Ru 0.000 0.000 0.500
I1 I 0.500 0.500 0.000